(1)
VASP calculation (PBE) on an optimized crystal structure of MnFeSi2.

As for the uncorrected formation energy: -476 meV/atom.

Geometry as CIF:
```
data_MnFeSi2
_symmetry_space_group_name_H-M 'P 1'
_symmetry_Int_Tables_number 1
_cell_length_a 4.476
_cell_length_b 4.477
_cell_length_c 4.479
_cell_angle_alpha 89.74
_cell_angle_beta 90.00
_cell_angle_gamma 90.00
loop_
_symmetry_equiv_pos_as_xyz
'x,y,z'
loop_
_atom_site_label
_atom_site_fract_x
_atom_site_fract_y
_atom_site_fract_z
Si1 0.344 0.839 0.093
Si2 0.844 0.161 0.907
Si3 0.657 0.653 0.594
Si4 0.157 0.347 0.406
Mn1 0.637 0.134 0.389
Mn2 0.137 0.866 0.611
Fe1 0.363 0.361 0.886
Fe2 0.863 0.639 0.114
```

(2)
VASP calculation (PBE) on an optimized crystal structure of MgSc2Al.

The formation energy is -146 meV per atom.

Geometry as CIF:
```
data_MgSc2Al
_symmetry_space_group_name_H-M 'P 1'
_symmetry_Int_Tables_number 1
_cell_length_a 3.186
_cell_length_b 3.186
_cell_length_c 8.511
_cell_angle_alpha 90.00
_cell_angle_beta 90.00
_cell_angle_gamma 90.00
loop_
_symmetry_equiv_pos_as_xyz
'x,y,z'
loop_
_atom_site_label
_atom_site_fract_x
_atom_site_fract_y
_atom_site_fract_z
Sc1 0.500 0.500 0.275
Sc2 0.000 0.000 0.998
Al1 0.000 0.000 0.501
Mg1 0.500 0.500 0.726
```

(3)
VASP calculation (PBE) on an optimized crystal structure of NdGe4Ru.

The formation energy is -332 meV per atom.

Geometry as CIF:
```
data_NdGe4Ru
_symmetry_space_group_name_H-M 'P 1'
_symmetry_Int_Tables_number 1
_cell_length_a 6.351
_cell_length_b 6.849
_cell_length_c 6.502
_cell_angle_alpha 94.91
_cell_angle_beta 119.24
_cell_angle_gamma 90.00
loop_
_symmetry_equiv_pos_as_xyz
'x,y,z'
loop_
_atom_site_label
_atom_site_fract_x
_atom_site_fract_y
_atom_site_fract_z
Ge1 0.129 0.145 0.492
Ge2 0.321 0.590 0.894
Ge3 0.427 0.910 0.106
Ge4 0.871 0.855 0.508
Ge5 0.679 0.410 0.106
Ge6 0.637 0.355 0.507
Ge7 0.573 0.090 0.894
Ge8 0.363 0.645 0.493
Ru1 0.500 0.000 0.500
Ru2 0.000 0.500 0.500
Nd1 0.902 0.750 0.000
Nd2 0.098 0.250 0.000
```

no.,E (eV per atom),calculated volume (Å³/f.u.)
1,-7.60,45
2,-4.65,86
3,-5.75,123